No. 1
A relaxed structure of CaErAgIr, computed with GGA-PBE.

Calculated values
- E_tot (eV for the cell shown) = -20.3
- energy above the lowest structure with this stoichiometry (eV/atom) = 0.000
- space group = P4mm, No. 99

extended XYZ file:
```
4
Lattice="-2.663 -1.560 1.558 1.776 -0.071 2.966 -2.819 6.657 1.848" Properties=species:S:1:pos:R:3 pbc="T T T"
Ir -1.545 3.649 1.013
Er -1.437 1.531 2.913
Ca -2.693 4.496 3.736
Ag -0.243 0.573 0.159
```

---

No. 2
A relaxed structure of CaErMg2Ag4, computed with GGA-PBE.

Calculated values
- E_tot (eV for the cell shown) = -23.4
- space group = R-3m, No. 166

extended XYZ file:
```
8
Lattice="4.966 0.000 0.000 2.483 4.301 0.000 2.483 1.434 8.097" Properties=species:S:1:pos:R:3 pbc="T T T"
Er 4.966 2.867 4.049
Ag 7.449 4.301 3.085
Ag 2.483 1.434 5.012
Ag 4.966 2.867 1.058
Ag 4.966 2.867 7.039
Mg 2.483 1.434 2.038
Mg 7.449 4.301 6.060
Ca 0.000 0.000 0.000
```

---

No. 3
A relaxed structure of CaEr2MgAg4, computed with GGA-PBE.

Calculated values
- E_tot (eV for the cell shown) = -26.4
- space group = R-3m, No. 166

extended XYZ file:
```
8
Lattice="5.033 0.000 0.000 2.517 4.359 0.000 2.517 1.453 8.221" Properties=species:S:1:pos:R:3 pbc="T T T"
Ag 2.517 1.453 5.101
Ag 5.033 2.906 1.138
Ag 5.033 2.906 7.083
Ag 7.550 4.359 3.120
Er 2.517 1.453 2.134
Er 7.550 4.359 6.087
Mg 5.033 2.906 4.111
Ca 0.000 0.000 0.000
```

---

No. 4
A relaxed structure of Ca2ErAgO4, computed with GGA-PBE.

Calculated values
- E_tot (eV for the cell shown) = -51.4
- space group = P2/m, No. 10

extended XYZ file:
```
8
Lattice="3.432 0.000 0.000 0.000 5.903 0.136 0.000 -2.037 5.518" Properties=species:S:1:pos:R:3 pbc="T T T"
Ca 0.000 1.933 2.827
Ca 1.716 -1.018 2.759
O 0.000 3.769 1.443
O 0.000 0.096 4.211
O 1.716 1.133 1.482
O 1.716 2.733 4.172
Ag 0.000 0.000 0.000
Er 1.716 2.951 0.068
```

---

No. 5
A relaxed structure of CaEr2Ag2Pb2, computed with GGA-PBE.

Calculated values
- E_tot (eV for the cell shown) = -26.4
- space group = R-3m, No. 166

extended XYZ file:
```
7
Lattice="-0.965 -4.439 1.939 3.615 -2.599 2.138 -1.002 1.497 9.217" Properties=species:S:1:pos:R:3 pbc="T T T"
Ag 1.135 -3.404 5.352
Ag 0.513 -2.137 7.943
Er 1.883 -5.474 7.275
Er -0.235 -0.067 6.019
Ca 0.000 0.000 0.000
Pb 1.167 -4.015 10.259
Pb 0.481 -1.526 3.036
```

---

No. 6
A relaxed structure of CaErAgPt, computed with GGA-PBE.

Calculated values
- E_tot (eV for the cell shown) = -18.3
- space group = F-43m, No. 216

extended XYZ file:
```
4
Lattice="5.004 0.000 0.000 2.502 4.333 0.000 2.502 1.444 4.085" Properties=species:S:1:pos:R:3 pbc="T T T"
Ag 2.502 1.444 1.021
Ca 0.000 0.000 0.000
Er 5.004 2.889 2.043
Pt 7.506 4.333 3.064
```

---

No. 7
A relaxed structure of CaErAgRu, computed with GGA-PBE.

Calculated values
- E_tot (eV for the cell shown) = -19.3
- space group = F-43m, No. 216

extended XYZ file:
```
4
Lattice="-0.509 4.892 -0.516 -4.182 1.868 -1.866 -3.120 2.484 2.925" Properties=species:S:1:pos:R:3 pbc="T T T"
Ca 0.000 0.000 0.000
Ag -1.953 2.311 0.136
Er -3.906 4.622 0.271
Ru -5.858 6.934 0.407
```

---

No. 8
A relaxed structure of Ca2ErAgS4, computed with GGA-PBE.

Calculated values
- E_tot (eV for the cell shown) = -41.4
- space group = P2/m, No. 10

extended XYZ file:
```
8
Lattice="-0.945 -1.982 3.339 -3.147 -4.838 -3.763 6.593 -1.685 0.866" Properties=species:S:1:pos:R:3 pbc="T T T"
Ca 2.824 -1.833 2.103
Ca 1.723 -3.261 -1.448
S 0.324 -2.646 0.913
S -0.716 -3.976 -2.563
S 4.162 -2.547 -0.334
S 2.177 -5.859 -0.470
Er -2.046 -3.410 -0.212
Ag 0.000 0.000 0.000
```

---

No. 9
A relaxed structure of Ca4Er3AgS8, computed with GGA-PBE.

Calculated values
- E_tot (eV for the cell shown) = -87.6
- space group = R-3m, No. 166

extended XYZ file:
```
16
Lattice="-4.134 6.692 0.744 0.179 -0.765 7.881 6.744 -0.041 -4.118" Properties=species:S:1:pos:R:3 pbc="T T T"
S 3.757 4.347 2.319
S -0.969 1.539 2.188
S 5.781 1.070 1.955
S 0.374 4.411 4.359
S 2.414 1.475 0.148
S -2.993 4.815 2.552
S 0.308 4.795 0.536
S 2.480 1.091 3.971
Ca 1.305 3.326 -1.687
Ca 0.000 0.000 0.000
Ca -2.067 3.346 0.372
Ca 3.372 -0.020 -2.059
Er 1.394 2.943 2.254
Er 3.461 -0.403 1.882
Er -1.978 2.963 4.312
Ag 0.089 -0.383 3.940
```

---

No. 10
A relaxed structure of CaErAgSb, computed with GGA-PBE.

Calculated values
- E_tot (eV for the cell shown) = -15.7
- space group = F-43m, No. 216

extended XYZ file:
```
4
Lattice="-4.790 1.935 0.951 -4.024 -3.261 0.876 -2.077 -0.376 4.810" Properties=species:S:1:pos:R:3 pbc="T T T"
Ag -2.723 -0.426 1.659
Sb -8.169 -1.277 4.978
Ca -5.446 -0.851 3.319
Er 0.000 0.000 0.000
```

---

No. 11
A relaxed structure of CaErAgSe3, computed with GGA-PBE.

Calculated values
- E_tot (eV for the cell shown) = -57.2
- space group = P2_1/m, No. 11

extended XYZ file:
```
12
Lattice="4.071 0.000 0.000 0.000 8.123 0.002 0.000 -2.150 9.031" Properties=species:S:1:pos:R:3 pbc="T T T"
Se 1.018 -1.168 7.839
Se 3.053 3.135 1.363
Se 3.053 7.141 1.195
Se 3.053 1.136 4.636
Se 1.018 4.837 4.397
Se 1.018 2.838 7.671
Er 3.053 0.836 7.507
Er 1.018 5.137 1.527
Ca 3.053 4.882 6.758
Ca 1.018 1.091 2.276
Ag 3.053 6.467 3.735
Ag 1.018 -0.494 5.299
```

---

No. 12
A relaxed structure of CaErSiAg, computed with GGA-PBE.

Calculated values
- E_tot (eV for the cell shown) = -16.5
- space group = F-43m, No. 216

extended XYZ file:
```
4
Lattice="-3.638 2.913 -1.954 -3.673 -2.072 -2.785 -4.706 -0.271 1.822" Properties=species:S:1:pos:R:3 pbc="T T T"
Ca -6.008 0.285 -1.458
Si -3.004 0.143 -0.729
Ag -9.012 0.428 -2.188
Er 0.000 0.000 0.000
```

---

No. 13
A relaxed structure of Ca2ErAgTe4, computed with GGA-PBE.

Calculated values
- E_tot (eV for the cell shown) = -33.6
- space group = P2/m, No. 10

extended XYZ file:
```
8
Lattice="-1.424 4.199 -0.116 -0.279 0.118 7.711 6.908 2.277 -2.381" Properties=species:S:1:pos:R:3 pbc="T T T"
Te 4.369 3.933 3.934
Te 1.464 0.639 5.146
Te 5.165 1.757 0.184
Te 0.837 2.662 1.280
Ca 3.315 1.198 2.665
Ca 2.742 3.238 -1.249
Er -0.852 2.159 3.798
Ag 0.000 0.000 0.000
```

---

No. 14
A relaxed structure of CaErZn2Ag5, computed with GGA-PBE.

Calculated values
- E_tot (eV for the cell shown) = -24.9
- space group = P4/mmm, No. 123

extended XYZ file:
```
9
Lattice="-2.197 1.378 -3.502 2.578 -2.402 -2.563 -6.042 -7.415 0.871" Properties=species:S:1:pos:R:3 pbc="T T T"
Ag -2.830 -4.219 -2.597
Ag -3.107 -6.596 -0.648
Ag -2.744 -1.331 -1.513
Ag -5.494 -4.706 -1.117
Ag -0.357 -3.221 -1.044
Zn -0.557 -1.429 -2.924
Zn -5.103 -7.009 -2.269
Ca -3.021 -3.707 0.436
Er 0.000 0.000 0.000
```

---

No. 15
A relaxed structure of CaEuAg2, computed with GGA-PBE.

Calculated values
- E_tot (eV for the cell shown) = -19.2
- space group = P4/mmm, No. 123

extended XYZ file:
```
4
Lattice="3.767 0.000 0.000 0.000 3.767 0.000 0.000 0.000 7.513" Properties=species:S:1:pos:R:3 pbc="T T T"
Ag 0.000 0.000 5.738
Ag 0.000 0.000 1.775
Eu 1.883 1.883 3.756
Ca 1.883 1.883 0.000
```

---

No. 16
A relaxed structure of CaEuAg, computed with GGA-PBE.

Calculated values
- E_tot (eV for the cell shown) = -15.3
- energy above the lowest structure with this stoichiometry (eV/atom) = 0.151
- space group = P3m1, No. 156

extended XYZ file:
```
3
Lattice="4.047 0.000 0.000 0.000 5.250 0.000 0.000 -2.625 4.546" Properties=species:S:1:pos:R:3 pbc="T T T"
Eu 0.148 0.000 0.000
Ag 1.605 0.000 3.031
Ca 2.294 2.625 1.515
```

---

No. 17
A relaxed structure of CaEuAg, computed with GGA-PBE.

Calculated values
- E_tot (eV for the cell shown) = -15.5
- energy above the lowest structure with this stoichiometry (eV/atom) = 0.072
- space group = F-43m, No. 216

extended XYZ file:
```
3
Lattice="5.285 0.000 0.000 2.642 4.577 0.000 2.642 1.526 4.315" Properties=species:S:1:pos:R:3 pbc="T T T"
Eu 0.000 0.000 0.000
Ag 2.642 1.526 1.079
Ca 5.285 3.051 2.157
```

---

No. 18
A relaxed structure of CaEuAg, computed with GGA-PBE.

Calculated values
- E_tot (eV for the cell shown) = -15.7
- energy above the lowest structure with this stoichiometry (eV/atom) = 0.000
- space group = I4mm, No. 107

extended XYZ file:
```
3
Lattice="-2.716 -0.041 2.622 2.614 -0.331 2.703 0.407 6.879 -2.188" Properties=species:S:1:pos:R:3 pbc="T T T"
Ca 0.022 0.412 0.029
Eu 0.218 4.102 0.291
Ag 0.065 1.994 2.817
```

---

No. 19
A relaxed structure of CaEu3Ag, computed with GGA-PBE.

Calculated values
- E_tot (eV for the cell shown) = -35.7
- space group = Pm-3m, No. 221

extended XYZ file:
```
5
Lattice="-3.198 2.782 -4.270 1.471 -4.322 -3.918 -4.879 -3.126 1.617" Properties=species:S:1:pos:R:3 pbc="T T T"
Eu -1.599 1.391 -2.135
Eu 0.735 -2.161 -1.959
Eu -2.439 -1.563 0.809
Ag 0.000 0.000 0.000
Ca -3.303 -2.333 -3.285
```

---

No. 20
A relaxed structure of CaEuGaAg, computed with GGA-PBE.

Calculated values
- E_tot (eV for the cell shown) = -19.6
- space group = F-43m, No. 216

extended XYZ file:
```
4
Lattice="5.287 0.000 0.000 2.644 4.579 0.000 2.644 1.526 4.317" Properties=species:S:1:pos:R:3 pbc="T T T"
Ca 5.287 3.052 2.158
Eu 0.000 0.000 0.000
Ga 7.931 4.579 3.238
Ag 2.644 1.526 1.079
```

---

No. 21
A relaxed structure of CaEuAgGe, computed with GGA-PBE.

Calculated values
- E_tot (eV for the cell shown) = -21.7
- space group = F-43m, No. 216

extended XYZ file:
```
4
Lattice="5.239 0.000 0.000 2.620 4.538 0.000 2.620 1.513 4.278" Properties=species:S:1:pos:R:3 pbc="T T T"
Ca 5.239 3.025 2.139
Ag 2.620 1.513 1.070
Ge 7.859 4.538 3.209
Eu 0.000 0.000 0.000
```

---

No. 22
A relaxed structure of CaEuAgHg, computed with GGA-PBE.

Calculated values
- E_tot (eV for the cell shown) = -17.1
- space group = F-43m, No. 216

extended XYZ file:
```
4
Lattice="-1.358 3.820 3.538 -3.880 3.529 -1.207 -4.741 -0.242 2.534" Properties=species:S:1:pos:R:3 pbc="T T T"
Ag -2.495 1.777 1.216
Ca 0.000 0.000 0.000
Hg -7.484 5.330 3.649
Eu -4.989 3.553 2.433
```

---

No. 23
A relaxed structure of CaEuAgIr, computed with GGA-PBE.

Calculated values
- E_tot (eV for the cell shown) = -25.1
- space group = F-43m, No. 216

extended XYZ file:
```
4
Lattice="5.067 0.000 0.000 2.534 4.388 0.000 2.534 1.463 4.138" Properties=species:S:1:pos:R:3 pbc="T T T"
Ca 0.000 0.000 0.000
Ir 7.601 4.388 3.103
Eu 5.067 2.926 2.069
Ag 2.534 1.463 1.034
```

---

No. 24
A relaxed structure of CaEuMgAg, computed with GGA-PBE.

Calculated values
- E_tot (eV for the cell shown) = -17.3
- space group = F-43m, No. 216

extended XYZ file:
```
4
Lattice="5.470 0.000 0.000 2.735 4.737 0.000 2.735 1.579 4.467" Properties=species:S:1:pos:R:3 pbc="T T T"
Eu 5.470 3.158 2.233
Mg 8.205 4.737 3.350
Ag 2.735 1.579 1.117
Ca 0.000 0.000 0.000
```

---

No. 25
A relaxed structure of NaCaEuAg, computed with GGA-PBE.

Calculated values
- E_tot (eV for the cell shown) = -16.7
- space group = F-43m, No. 216

extended XYZ file:
```
4
Lattice="-3.252 4.203 -1.749 -0.963 0.705 -5.466 -5.069 -1.076 -2.109" Properties=species:S:1:pos:R:3 pbc="T T T"
Ca 0.000 0.000 0.000
Ag -2.321 0.958 -2.331
Eu -4.642 1.916 -4.662
Na -6.963 2.874 -6.993
```

---

No. 26
A relaxed structure of CaEuAgPt, computed with GGA-PBE.

Calculated values
- E_tot (eV for the cell shown) = -23.6
- space group = F-43m, No. 216

extended XYZ file:
```
4
Lattice="-3.565 1.450 3.412 -4.950 -1.136 -0.812 -2.343 -3.522 2.925" Properties=species:S:1:pos:R:3 pbc="T T T"
Pt -8.143 -2.406 4.144
Ag -2.714 -0.802 1.381
Ca 0.000 0.000 0.000
Eu -5.429 -1.604 2.762
```

---

No. 27
A relaxed structure of CaEuAgRh, computed with GGA-PBE.

Calculated values
- E_tot (eV for the cell shown) = -23.7
- space group = F-43m, No. 216

extended XYZ file:
```
4
Lattice="-0.902 0.627 4.980 -4.455 -1.483 1.992 -0.189 -4.055 3.088" Properties=species:S:1:pos:R:3 pbc="T T T"
Ag -1.386 -1.228 2.515
Eu 0.000 0.000 0.000
Rh -4.159 -3.683 7.545
Ca -2.773 -2.455 5.030
```

---

No. 28
A relaxed structure of CaEuSiAg, computed with GGA-PBE.

Calculated values
- E_tot (eV for the cell shown) = -22.0
- space group = F-43m, No. 216

extended XYZ file:
```
4
Lattice="5.199 0.000 0.000 2.599 4.502 0.000 2.599 1.501 4.245" Properties=species:S:1:pos:R:3 pbc="T T T"
Ag 2.599 1.501 1.061
Si 7.798 4.502 3.184
Ca 5.199 3.002 2.122
Eu 0.000 0.000 0.000
```